# 1
# TaCd2Se, relaxed, DFT PBE
data_TaCd2Se
_space_group_name_H-M_alt 'P 1'
_space_group_IT_number 1
_cell_length_a 4.722
_cell_length_b 3.044
_cell_length_c 5.926
_cell_angle_alpha 75.58
_cell_angle_beta 90.00
_cell_angle_gamma 90.00
loop_
_space_group_symop_operation_xyz
'x,y,z'
loop_
_atom_site_label
_atom_site_type_symbol
_atom_site_fract_x
_atom_site_fract_y
_atom_site_fract_z
_atom_site_occupancy
Ta1 Ta 0.500 0.575 0.728 1
Cd1 Cd 0.500 0.309 0.248 1
Se1 Se 0.000 0.669 0.536 1
Cd2 Cd 0.000 0.947 0.989 1
# SG ... No. 6
# Total magnetization ... 0.00 μB/f.u.
# Formation energy from raw total energies ... 0.162 eV/atom
# Density ... 9.76 g cm⁻³
# DOS at the Fermi energy ... 1.66 states/eV/cell



# 2
# Ta2CdSe, relaxed, DFT PBE
data_Ta2CdSe
_space_group_name_H-M_alt 'P 1'
_space_group_IT_number 1
_cell_length_a 5.675
_cell_length_b 5.283
_cell_length_c 3.072
_cell_angle_alpha 80.46
_cell_angle_beta 76.54
_cell_angle_gamma 118.00
loop_
_space_group_symop_operation_xyz
'x,y,z'
loop_
_atom_site_label
_atom_site_type_symbol
_atom_site_fract_x
_atom_site_fract_y
_atom_site_fract_z
_atom_site_occupancy
Se1 Se 0.500 0.500 0.000 1
Ta1 Ta 0.500 0.000 0.500 1
Cd1 Cd 0.000 0.500 0.500 1
Ta2 Ta 0.000 0.000 0.000 1
# SG ... No. 12
# Total magnetization ... 0.00 μB/f.u.
# Formation energy from raw total energies ... 0.375 eV/atom
# Distance to the lowest polymorph of the same formula ... 0.363 eV per atom
# Density ... 12.26 g cm⁻³
# DOS at the Fermi energy ... 2.35 states/eV/cell



# 3
# Ta2CdSe, relaxed, DFT PBE
data_Ta2CdSe
_space_group_name_H-M_alt 'P 1'
_space_group_IT_number 1
_cell_length_a 5.029
_cell_length_b 5.029
_cell_length_c 4.903
_cell_angle_alpha 83.97
_cell_angle_beta 83.97
_cell_angle_gamma 38.00
loop_
_space_group_symop_operation_xyz
'x,y,z'
loop_
_atom_site_label
_atom_site_type_symbol
_atom_site_fract_x
_atom_site_fract_y
_atom_site_fract_z
_atom_site_occupancy
Ta1 Ta 0.495 0.495 0.497 1
Cd1 Cd 0.750 0.750 0.750 1
Se1 Se 0.250 0.250 0.250 1
Ta2 Ta 0.005 0.005 0.003 1
# SG ... No. 12
# Total magnetization ... 0.00 μB/f.u.
# Formation energy from raw total energies ... 0.284 eV/atom
# Distance to the lowest polymorph of the same formula ... 0.273 eV per atom
# Density ... 12.11 g cm⁻³
# DOS at the Fermi energy ... 2.49 states/eV/cell